#a
An optimized crystal structure of Ac2PmSi2, computed with PBE-GGA.

Cell lengths 6.918, 6.918, 11.426 Å; angles 115.90, 115.90, 38.64 degrees
Fractional positions:
Ac  0.015  0.015  0.190
Ac  0.181  0.181  0.591
Ac  0.819  0.819  0.409
Ac  0.985  0.985  0.810
Pm  0.272  0.272  0.129
Pm  0.728  0.728  0.871
Si  0.393  0.393  0.950
Si  0.497  0.497  0.605
Si  0.503  0.503  0.395
Si  0.607  0.607  0.050

Properties
SG ... C2/m, No. 12
Total magnetic moment ... 0.00 μB/atom

#b
An optimized crystal structure of Ac2PmSi2, computed with PBE-GGA.

Cell lengths 7.965, 7.965, 4.702 Å; angles 90.00, 90.00, 90.00 degrees
Fractional positions:
Ac  0.179  0.321  0.000
Ac  0.321  0.821  0.000
Ac  0.679  0.179  0.000
Ac  0.821  0.679  0.000
Pm  0.000  0.000  0.500
Pm  0.500  0.500  0.500
Si  0.110  0.610  0.500
Si  0.390  0.110  0.500
Si  0.610  0.890  0.500
Si  0.890  0.390  0.500

Properties
SG ... P4/mbm, No. 127
Total magnetic moment ... 0.00 μB/atom

Bottom line: #b, by a margin of 17 meV per atom.